Y4GaHS2 after structural relaxation. Source: the Alexandria database, functional PBE-GGA.

Geometry as extended XYZ:
```
8
Lattice="0.000 5.579 3.958 3.932 0.000 3.958 3.932 5.579 0.000" Properties=species:S:1:pos:R:3 pbc="T T T"
Y 5.764 5.579 1.923
Y 3.932 2.753 3.958
Y 2.100 5.579 1.923
Y 3.932 8.404 3.958
Ga 3.932 5.579 4.041
H 3.932 5.579 0.373
S 1.966 2.789 1.974
S 5.898 8.368 5.932
```

**Space-group type**: Fmm2 (42)
**D(E_F)**: 0.514 states/eV per atom

Zr2GaHS after structural relaxation. Source: the Alexandria database, functional PBE-GGA.

Geometry as extended XYZ:
```
5
Lattice="5.076 0.000 0.000 0.000 5.076 0.000 0.000 0.000 4.689" Properties=species:S:1:pos:R:3 pbc="T T T"
Zr 0.000 2.538 0.000
Zr 2.538 0.000 0.000
Ga 0.000 0.000 0.000
H 2.538 2.538 2.345
S 0.000 0.000 2.345
```

**Space-group type**: P4/mmm (123)
**D(E_F)**: 1.031 states/eV per atom

Ga2SbH2 after structural relaxation. Source: the Alexandria database, functional PBE-GGA.

Geometry as extended XYZ:
```
10
Lattice="7.209 0.000 0.000 0.000 7.209 0.000 0.000 0.000 2.987" Properties=species:S:1:pos:R:3 pbc="T T T"
Ga 0.897 2.708 0.000
Ga 2.708 6.313 0.000
Ga 4.501 0.897 0.000
Ga 6.313 4.501 0.000
Sb 0.000 0.000 0.000
Sb 3.605 3.605 0.000
H 0.762 4.366 1.493
H 2.843 0.762 1.493
H 4.366 6.448 1.493
H 6.448 2.843 1.493
```

**Space-group type**: P4/mbm (127)
**D(E_F)**: 0.346 states/eV per atom

GaSbH after structural relaxation. Source: the Alexandria database, functional PBE-GGA.

Geometry as extended XYZ:
```
3
Lattice="-2.059 2.059 3.377 2.059 -2.059 3.377 2.059 2.059 -3.377" Properties=species:S:1:pos:R:3 pbc="T T T"
Ga 0.000 0.000 0.000
Sb 0.000 0.000 3.660
H 0.000 0.000 1.811
```

**Space-group type**: I4mm (107)
**D(E_F)**: 0.586 states/eV per atom

Ga3SbH after structural relaxation. Source: the Alexandria database, functional PBE-GGA.

Geometry as extended XYZ:
```
5
Lattice="5.503 0.000 0.000 0.000 5.503 0.000 0.000 0.000 5.503" Properties=species:S:1:pos:R:3 pbc="T T T"
Ga 0.000 0.000 2.752
Ga 0.000 2.752 0.000
Ga 2.752 0.000 0.000
Sb 0.000 0.000 0.000
H 2.752 2.752 2.752
```

**Space-group type**: Pm-3m (221)
**D(E_F)**: 0.357 states/eV per atom

Ga2SbH2 after structural relaxation. Source: the Alexandria database, functional PBE-GGA.

Geometry as extended XYZ:
```
5
Lattice="-1.736 1.736 6.163 1.736 -1.736 6.163 1.736 1.736 -6.163" Properties=species:S:1:pos:R:3 pbc="T T T"
Ga 0.000 0.000 1.969
Ga 0.000 0.000 10.357
Sb 0.000 0.000 6.163
H 1.736 0.000 3.081
H 0.000 1.736 3.081
```

**Space-group type**: I4/mmm (139)
**D(E_F)**: 0.250 states/eV per atom

Ga3SbH after structural relaxation. Source: the Alexandria database, functional PBE-GGA.

Geometry as extended XYZ:
```
5
Lattice="4.510 0.000 0.000 0.000 4.510 0.000 0.000 0.000 4.510" Properties=species:S:1:pos:R:3 pbc="T T T"
Ga 0.000 0.000 2.255
Ga 0.000 2.255 0.000
Ga 2.255 0.000 0.000
Sb 2.255 2.255 2.255
H 0.000 0.000 0.000
```

**Space-group type**: Pm-3m (221)
**D(E_F)**: 0.408 states/eV per atom

GaSbH after structural relaxation. Source: the Alexandria database, functional PBE-GGA.

Geometry as extended XYZ:
```
12
Lattice="6.179 0.000 0.000 0.000 6.860 0.000 -3.333 0.000 6.177" Properties=species:S:1:pos:R:3 pbc="T T T"
Ga 0.253 0.571 2.018
Ga -1.414 2.860 5.107
Ga 4.260 4.001 1.070
Ga 2.593 6.290 4.158
Sb -1.624 0.335 5.936
Sb 0.042 3.095 2.848
Sb 2.804 3.765 3.329
Sb 4.470 6.525 0.241
H -1.400 4.047 6.163
H 0.267 6.243 3.075
H 2.579 0.617 3.102
H 4.245 2.813 0.014
```

**Space-group type**: P2_1/c (14)

GaSb2H after structural relaxation. Source: the Alexandria database, functional PBE-GGA.

Geometry as extended XYZ:
```
4
Lattice="0.000 3.398 3.398 3.398 0.000 3.398 3.398 3.398 0.000" Properties=species:S:1:pos:R:3 pbc="T T T"
Ga 0.000 0.000 0.000
Sb 1.699 1.699 1.699
Sb 5.097 5.097 5.097
H 3.398 3.398 3.398
```

**Space-group type**: Fm-3m (225)
**D(E_F)**: 0.507 states/eV per atom

GaSb2H after structural relaxation. Source: the Alexandria database, functional PBE-GGA.

Geometry as extended XYZ:
```
8
Lattice="-2.908 2.908 5.359 2.908 -2.908 5.359 2.908 2.908 -5.359" Properties=species:S:1:pos:R:3 pbc="T T T"
Ga 0.000 0.000 0.000
Ga 0.000 2.908 2.679
Sb 1.454 -1.005 4.019
Sb 1.903 1.454 1.340
Sb 1.454 3.913 -1.340
Sb 1.005 1.454 6.699
H 2.908 0.000 2.679
H 0.000 0.000 5.359
```

**Space-group type**: I-42d (122)
**D(E_F)**: 0.448 states/eV per atom

GaSb2H after structural relaxation. Source: the Alexandria database, functional PBE-GGA.

Geometry as extended XYZ:
```
4
Lattice="2.186 1.262 6.580 -2.186 1.262 6.580 0.000 -2.524 6.580" Properties=species:S:1:pos:R:3 pbc="T T T"
Ga 0.000 0.000 0.000
Sb 0.000 0.000 7.877
Sb 0.000 0.000 11.863
H 0.000 0.000 9.870
```

**Space-group type**: R-3m (166)
**D(E_F)**: 0.283 states/eV per atom

GaSbH after structural relaxation. Source: the Alexandria database, functional PBE-GGA.

Geometry as extended XYZ:
```
6
Lattice="3.195 0.000 0.000 -1.443 5.835 0.000 -1.529 -0.953 6.025" Properties=species:S:1:pos:R:3 pbc="T T T"
Ga 0.000 0.000 0.000
Ga -0.293 0.586 3.099
Sb -0.245 3.090 0.371
Sb -0.285 3.232 3.257
H -0.382 -0.236 4.556
H 1.318 0.206 2.420
```

**Space-group type**: P1 (1)
**D(E_F)**: 0.263 states/eV per atom

GaSbH2Se after structural relaxation. Source: the Alexandria database, functional PBE-GGA.

Geometry as extended XYZ:
```
5
Lattice="3.919 0.000 0.000 0.000 3.919 0.000 0.000 0.000 5.716" Properties=species:S:1:pos:R:3 pbc="T T T"
Ga 0.000 0.000 0.000
Sb 1.959 1.959 2.858
H 0.000 1.959 0.000
H 1.959 0.000 0.000
Se 0.000 0.000 2.858
```

**Space-group type**: P4/mmm (123)
**D(E_F)**: 0.353 states/eV per atom

GaSnSb2H after structural relaxation. Source: the Alexandria database, functional PBE-GGA.

Geometry as extended XYZ:
```
5
Lattice="5.732 0.000 0.000 0.000 5.732 0.000 0.000 0.000 3.394" Properties=species:S:1:pos:R:3 pbc="T T T"
Ga 0.000 0.000 0.000
Sn 2.866 2.866 1.697
Sb 0.000 2.866 0.000
Sb 2.866 0.000 0.000
H 0.000 0.000 1.697
```

**Space-group type**: P4/mmm (123)
**D(E_F)**: 0.344 states/eV per atom

Total energy per entry: -6.256, -4.483, -2.917, -3.278, -2.379, -3.093, -3.114, -3.407, -3.193, -3.286, -3.317, -3.297, -3.187, -3.582 eV per atom